Version P
# RbCdO PBE relaxed
# **Crystal system**: tetragonal
# **Total moment**: 0.00 μB per formula unit
data_RbCdO
_cell_length_a 5.422
_cell_length_b 5.422
_cell_length_c 10.640
_cell_angle_alpha 90.00
_cell_angle_beta 90.00
_cell_angle_gamma 90.00
_symmetry_space_group_name_H-M 'I 41 m d'
_symmetry_Int_Tables_number 109
_symmetry_space_group_name_Hall 'I 4bw -2'
loop_
_atom_site_label
_atom_site_fract_x
_atom_site_fract_y
_atom_site_fract_z
_atom_site_occupancy
Rb1 0.000 0.000 0.000 1
Cd1 0.000 0.000 0.470 1
O1 0.000 0.000 0.267 1


Version Q
# RbCdO PBE relaxed
# **Crystal system**: tetragonal
# **Total moment**: 0.91 μB per formula unit
data_RbCdO
_cell_length_a 5.256
_cell_length_b 5.256
_cell_length_c 8.188
_cell_angle_alpha 90.00
_cell_angle_beta 90.00
_cell_angle_gamma 90.00
_symmetry_space_group_name_H-M 'I 4 m m'
_symmetry_Int_Tables_number 107
_symmetry_space_group_name_Hall 'I 4 -2'
loop_
_atom_site_label
_atom_site_fract_x
_atom_site_fract_y
_atom_site_fract_z
_atom_site_occupancy
Rb1 0.000 0.000 0.000 1
Cd1 0.000 0.000 0.563 1
O1 0.000 0.000 0.315 1


Version R
# RbCdO PBE relaxed
# **Crystal system**: monoclinic
# **Total moment**: 0.00 μB per formula unit
data_RbCdO
_cell_length_a 14.460
_cell_length_b 6.725
_cell_length_c 9.760
_cell_angle_alpha 90.00
_cell_angle_beta 127.10
_cell_angle_gamma 90.00
_symmetry_space_group_name_H-M 'C 1 2/c 1'
_symmetry_Int_Tables_number 15
_symmetry_space_group_name_Hall '-C 2yc'
loop_
_atom_site_label
_atom_site_fract_x
_atom_site_fract_y
_atom_site_fract_z
_atom_site_occupancy
Rb1 0.165 0.198 0.265 1
Cd1 0.117 0.292 0.863 1
O1 0.225 0.047 0.049 1


What should be chosen as the least stable of them? Choose version Q.


Version P
# Rb2CdO PBE relaxed
# **Crystal system**: tetragonal
# **Total moment**: 0.00 μB per formula unit
data_Rb2CdO
_cell_length_a 8.729
_cell_length_b 8.729
_cell_length_c 7.874
_cell_angle_alpha 90.00
_cell_angle_beta 90.00
_cell_angle_gamma 90.00
_symmetry_space_group_name_H-M 'I -4 2 d'
_symmetry_Int_Tables_number 122
_symmetry_space_group_name_Hall 'I -4 2bw'
loop_
_atom_site_label
_atom_site_fract_x
_atom_site_fract_y
_atom_site_fract_z
_atom_site_occupancy
Rb1 0.138 0.250 0.125 1
Cd1 0.000 0.000 0.500 1
O1 0.000 0.000 0.000 1


Version Q
# Rb2CdO PBE relaxed
# **Crystal system**: cubic
# **Total moment**: 0.00 μB per formula unit
data_Rb2CdO
_cell_length_a 7.841
_cell_length_b 7.841
_cell_length_c 7.841
_cell_angle_alpha 90.00
_cell_angle_beta 90.00
_cell_angle_gamma 90.00
_symmetry_space_group_name_H-M 'F m -3 m'
_symmetry_Int_Tables_number 225
_symmetry_space_group_name_Hall '-F 4 2 3'
loop_
_atom_site_label
_atom_site_fract_x
_atom_site_fract_y
_atom_site_fract_z
_atom_site_occupancy
Rb1 0.250 0.250 0.250 1
Cd1 0.000 0.000 0.000 1
O1 0.000 0.000 0.500 1


What should be chosen as the least stable of them? Choose version Q.


Version P
# Rb3CdO3 PBE relaxed
# **Crystal system**: hexagonal
# **Total moment**: 1.02 μB per formula unit
data_Rb3CdO3
_cell_length_a 8.3707
_cell_length_b 8.3707
_cell_length_c 5.9687
_cell_angle_alpha 90.00
_cell_angle_beta 90.00
_cell_angle_gamma 120.00
_symmetry_space_group_name_H-M 'P 63/m'
_symmetry_Int_Tables_number 176
_symmetry_space_group_name_Hall '-P 6c'
loop_
_atom_site_label
_atom_site_fract_x
_atom_site_fract_y
_atom_site_fract_z
_atom_site_occupancy
Rb1 0.0847 0.3526 0.2500 1
Cd1 0.3333 0.6667 0.7500 1
O1 0.0997 0.4018 0.7500 1


Version Q
# Rb3CdO3 PBE relaxed
# **Crystal system**: monoclinic
# **Total moment**: 1.02 μB per formula unit
data_Rb3CdO3
_cell_length_a 7.923
_cell_length_b 11.825
_cell_length_c 7.066
_cell_angle_alpha 90.00
_cell_angle_beta 98.70
_cell_angle_gamma 90.00
_symmetry_space_group_name_H-M 'C 1 2/m 1'
_symmetry_Int_Tables_number 12
_symmetry_space_group_name_Hall '-C 2y'
loop_
_atom_site_label
_atom_site_fract_x
_atom_site_fract_y
_atom_site_fract_z
_atom_site_occupancy
Rb1 0.000 0.184 0.000 1
Rb2 0.000 0.252 0.500 1
Rb3 0.130 0.500 0.849 1
Cd1 0.186 0.000 0.638 1
O1 0.092 0.000 0.325 1
O2 0.180 0.357 0.223 1


What should be chosen as the least stable of them? Choose version P.


Version P
# Rb2CdSiO4 PBE relaxed
# **Crystal system**: orthorhombic
# **Total moment**: 0.00 μB per formula unit
data_Rb2CdSiO4
_cell_length_a 11.136
_cell_length_b 11.661
_cell_length_c 16.979
_cell_angle_alpha 90.00
_cell_angle_beta 90.00
_cell_angle_gamma 90.00
_symmetry_space_group_name_H-M 'C 2 2 21'
_symmetry_Int_Tables_number 20
_symmetry_space_group_name_Hall 'C 2c 2'
loop_
_atom_site_label
_atom_site_fract_x
_atom_site_fract_y
_atom_site_fract_z
_atom_site_occupancy
Rb1 0.012 0.248 0.140 1
Rb2 0.038 0.500 0.500 1
Rb3 0.057 0.000 0.000 1
Rb4 0.200 0.246 0.768 1
Rb5 0.243 0.007 0.609 1
Cd1 0.029 0.251 0.595 1
Cd2 0.232 0.486 0.657 1
Si1 0.000 0.019 0.750 1
Si2 0.000 0.493 0.750 1
Si3 0.246 0.266 0.492 1
O1 0.019 0.099 0.670 1
O2 0.021 0.412 0.670 1
O3 0.119 0.066 0.238 1
O4 0.121 0.426 0.243 1
O5 0.126 0.306 0.981 1
O6 0.134 0.172 0.491 1
O7 0.228 0.361 0.421 1
O8 0.241 0.327 0.581 1


Version Q
# Rb2CdSiO4 PBE relaxed
# **Crystal system**: orthorhombic
# **Total moment**: 0.00 μB per formula unit
data_Rb2CdSiO4
_cell_length_a 5.467
_cell_length_b 11.959
_cell_length_c 21.596
_cell_angle_alpha 90.00
_cell_angle_beta 90.00
_cell_angle_gamma 90.00
_symmetry_space_group_name_H-M 'F d d d'
_symmetry_Int_Tables_number 70
loop_
_symmetry_equiv_pos_as_xyz
'x,y,z'
'-x,-y,-z'
'-x+1/4,-y+1/4,z'
'x+1/4,y+1/4,-z'
'x,-y+1/4,-z+1/4'
'-x,y+1/4,z+1/4'
'-x+1/4,y,-z+1/4'
'x+1/4,-y,z+1/4'
'x,y+1/2,z+1/2'
'-x,-y+1/2,-z+1/2'
'-x+1/4,-y+3/4,z+1/2'
'x+1/4,y+3/4,-z+1/2'
'x,-y+3/4,-z+3/4'
'-x,y+3/4,z+3/4'
'-x+1/4,y+1/2,-z+3/4'
'x+1/4,-y+1/2,z+3/4'
'x+1/2,y,z+1/2'
'-x+1/2,-y,-z+1/2'
'-x+3/4,-y+1/4,z+1/2'
'x+3/4,y+1/4,-z+1/2'
'x+1/2,-y+1/4,-z+3/4'
'-x+1/2,y+1/4,z+3/4'
'-x+3/4,y,-z+3/4'
'x+3/4,-y,z+3/4'
'x+1/2,y+1/2,z'
'-x+1/2,-y+1/2,-z'
'-x+3/4,-y+3/4,z'
'x+3/4,y+3/4,-z'
'x+1/2,-y+3/4,-z+1/4'
'-x+1/2,y+3/4,z+1/4'
'-x+3/4,y+1/2,-z+1/4'
'x+3/4,-y+1/2,z+1/4'
loop_
_atom_site_label
_atom_site_fract_x
_atom_site_fract_y
_atom_site_fract_z
_atom_site_occupancy
Rb1 0.125 0.125 0.304 1
Cd1 0.125 0.125 0.125 1
Si1 0.125 0.125 0.625 1
O1 0.058 0.292 0.833 1


What should be chosen as the least stable of them? Choose version Q.


Version P
# CdRe3O PBE relaxed
# **Crystal system**: cubic
# **Total moment**: 8.32 μB per formula unit
data_CdRe3O
_cell_length_a 4.956
_cell_length_b 4.956
_cell_length_c 4.956
_cell_angle_alpha 90.00
_cell_angle_beta 90.00
_cell_angle_gamma 90.00
_symmetry_space_group_name_H-M 'P m -3 m'
_symmetry_Int_Tables_number 221
_symmetry_space_group_name_Hall '-P 4 2 3'
loop_
_atom_site_label
_atom_site_fract_x
_atom_site_fract_y
_atom_site_fract_z
_atom_site_occupancy
Cd1 0.000 0.000 0.000 1
Re1 0.000 0.000 0.500 1
O1 0.500 0.500 0.500 1


Version Q
# CdRe3O PBE relaxed
# **Crystal system**: cubic
# **Total moment**: 0.00 μB per formula unit
data_CdRe3O
_cell_length_a 4.161
_cell_length_b 4.161
_cell_length_c 4.161
_cell_angle_alpha 90.00
_cell_angle_beta 90.00
_cell_angle_gamma 90.00
_symmetry_space_group_name_H-M 'P m -3 m'
_symmetry_Int_Tables_number 221
_symmetry_space_group_name_Hall '-P 4 2 3'
loop_
_atom_site_label
_atom_site_fract_x
_atom_site_fract_y
_atom_site_fract_z
_atom_site_occupancy
Cd1 0.000 0.000 0.000 1
Re1 0.000 0.500 0.500 1
O1 0.500 0.500 0.500 1


What should be chosen as the least stable of them? Choose version P.


Version P
# CdRe2O PBE relaxed
# **Crystal system**: cubic
# **Total moment**: 0.00 μB per formula unit
data_CdRe2O
_cell_length_a 6.143
_cell_length_b 6.143
_cell_length_c 6.143
_cell_angle_alpha 90.00
_cell_angle_beta 90.00
_cell_angle_gamma 90.00
_symmetry_space_group_name_H-M 'F m -3 m'
_symmetry_Int_Tables_number 225
_symmetry_space_group_name_Hall '-F 4 2 3'
loop_
_atom_site_label
_atom_site_fract_x
_atom_site_fract_y
_atom_site_fract_z
_atom_site_occupancy
Cd1 0.000 0.000 0.000 1
Re1 0.250 0.250 0.250 1
O1 0.000 0.000 0.500 1


Version Q
# CdRe2O PBE relaxed
# **Crystal system**: tetragonal
# **Total moment**: 0.00 μB per formula unit
data_CdRe2O
_cell_length_a 4.821
_cell_length_b 4.821
_cell_length_c 13.097
_cell_angle_alpha 90.00
_cell_angle_beta 90.00
_cell_angle_gamma 90.00
_symmetry_space_group_name_H-M 'I 41/a m d'
_symmetry_Int_Tables_number 141
loop_
_symmetry_equiv_pos_as_xyz
'x,y,z'
'-x,-y,-z'
'-y+1/4,x+3/4,z+1/4'
'y+1/4,-x+3/4,-z+1/4'
'-x+1/2,-y,z+1/2'
'x+1/2,y,-z+1/2'
'y+1/4,-x+1/4,z+3/4'
'-y+1/4,x+1/4,-z+3/4'
'x,-y,-z'
'-x,y,z'
'-y+1/4,-x+1/4,-z+3/4'
'y+1/4,x+1/4,z+3/4'
'-x+1/2,y,-z+1/2'
'x+1/2,-y,z+1/2'
'y+1/4,x+3/4,-z+1/4'
'-y+1/4,-x+3/4,z+1/4'
'x+1/2,y+1/2,z+1/2'
'-x+1/2,-y+1/2,-z+1/2'
'-y+3/4,x+1/4,z+3/4'
'y+3/4,-x+1/4,-z+3/4'
'-x,-y+1/2,z'
'x,y+1/2,-z'
'y+3/4,-x+3/4,z+1/4'
'-y+3/4,x+3/4,-z+1/4'
'x+1/2,-y+1/2,-z+1/2'
'-x+1/2,y+1/2,z+1/2'
'-y+3/4,-x+3/4,-z+1/4'
'y+3/4,x+3/4,z+1/4'
'-x,y+1/2,-z'
'x,-y+1/2,z'
'y+3/4,x+1/4,-z+3/4'
'-y+3/4,-x+1/4,z+3/4'
loop_
_atom_site_label
_atom_site_fract_x
_atom_site_fract_y
_atom_site_fract_z
_atom_site_occupancy
Cd1 0.000 0.250 0.375 1
Re1 0.000 0.000 0.000 1
O1 0.000 0.250 0.875 1


What should be chosen as the least stable of them? Choose version P.


Version P
# Cd3RhO PBE relaxed
# **Crystal system**: cubic
# **Total moment**: 0.00 μB per formula unit
data_Cd3RhO
_cell_length_a 4.502
_cell_length_b 4.502
_cell_length_c 4.502
_cell_angle_alpha 90.00
_cell_angle_beta 90.00
_cell_angle_gamma 90.00
_symmetry_space_group_name_H-M 'P m -3 m'
_symmetry_Int_Tables_number 221
_symmetry_space_group_name_Hall '-P 4 2 3'
loop_
_atom_site_label
_atom_site_fract_x
_atom_site_fract_y
_atom_site_fract_z
_atom_site_occupancy
Cd1 0.000 0.000 0.500 1
Rh1 0.500 0.500 0.500 1
O1 0.000 0.000 0.000 1


Version Q
# Cd3RhO PBE relaxed
# **Crystal system**: cubic
# **Total moment**: 0.00 μB per formula unit
data_Cd3RhO
_cell_length_a 5.117
_cell_length_b 5.117
_cell_length_c 5.117
_cell_angle_alpha 90.00
_cell_angle_beta 90.00
_cell_angle_gamma 90.00
_symmetry_space_group_name_H-M 'P m -3 m'
_symmetry_Int_Tables_number 221
_symmetry_space_group_name_Hall '-P 4 2 3'
loop_
_atom_site_label
_atom_site_fract_x
_atom_site_fract_y
_atom_site_fract_z
_atom_site_occupancy
Cd1 0.000 0.000 0.500 1
Rh1 0.000 0.000 0.000 1
O1 0.500 0.500 0.500 1


What should be chosen as the least stable of them? Choose version Q.


Version P
# CdRh3O PBE relaxed
# **Crystal system**: cubic
# **Total moment**: 5.10 μB per formula unit
data_CdRh3O
_cell_length_a 4.967
_cell_length_b 4.967
_cell_length_c 4.967
_cell_angle_alpha 90.00
_cell_angle_beta 90.00
_cell_angle_gamma 90.00
_symmetry_space_group_name_H-M 'P m -3 m'
_symmetry_Int_Tables_number 221
_symmetry_space_group_name_Hall '-P 4 2 3'
loop_
_atom_site_label
_atom_site_fract_x
_atom_site_fract_y
_atom_site_fract_z
_atom_site_occupancy
Cd1 0.000 0.000 0.000 1
Rh1 0.000 0.000 0.500 1
O1 0.500 0.500 0.500 1


Version Q
# CdRh3O PBE relaxed
# **Crystal system**: cubic
# **Total moment**: 0.82 μB per formula unit
data_CdRh3O
_cell_length_a 4.170
_cell_length_b 4.170
_cell_length_c 4.170
_cell_angle_alpha 90.00
_cell_angle_beta 90.00
_cell_angle_gamma 90.00
_symmetry_space_group_name_H-M 'P m -3 m'
_symmetry_Int_Tables_number 221
_symmetry_space_group_name_Hall '-P 4 2 3'
loop_
_atom_site_label
_atom_site_fract_x
_atom_site_fract_y
_atom_site_fract_z
_atom_site_occupancy
Cd1 0.000 0.000 0.000 1
Rh1 0.000 0.500 0.500 1
O1 0.500 0.500 0.500 1


What should be chosen as the least stable of them? Choose version P.